Below is a geometry-optimized DyYErAg structure, with properties calculated at the PBE-GGA level.

Cell lengths 3.552, 3.552, 8.855 Å; angles 90.00, 90.00, 90.00 degrees
Atoms (fractional coordinates):
Er 0.500 0.500 0.358
Y 0.500 0.500 0.787
Dy 0.000 0.000 0.075
Ag 0.000 0.000 0.565

- Formation energy from the elements: -0.54 eV/f.u.